1.
Computed, not measured: a relaxed structure of SiBiN2 at the PBE-GGA level of DFT.

Output
- calculated total energy (eV/cell) = -23.906
- E_form (uncorrected) (kJ/mol of atoms) = 49.4
- excess energy over the best structure of this formula in the dataset (meV per atom) = 658
- symmetry = R-3m, No. 166

a b c (Å): 6.1064 6.1064 6.1064
angles (deg): 36.54 36.54 36.54
Positions (direct):
Si 0.0000 0.0000 0.0000
Bi 0.5000 0.5000 0.5000
N 0.9033 0.9033 0.9033
N 0.0967 0.0967 0.0967


2.
Computed, not measured: a relaxed structure of Si3BiN at the PBE-GGA level of DFT.

Output
- calculated total energy (eV/cell) = -15.042
- E_form (uncorrected) (kJ/mol of atoms) = 259.2
- excess energy over the best structure of this formula in the dataset (meV per atom) = 1919
- symmetry = Pm-3m, No. 221

a b c (Å): 5.3905 5.3905 5.3905
angles (deg): 90.00 90.00 90.00
Positions (direct):
Si 0.0000 0.5000 0.0000
Si 0.0000 0.0000 0.5000
Si 0.5000 0.0000 0.0000
Bi 0.0000 0.0000 0.0000
N 0.5000 0.5000 0.5000


3.
Computed, not measured: a relaxed structure of Si3BiN at the PBE-GGA level of DFT.

Output
- calculated total energy (eV/cell) = -24.639
- E_form (uncorrected) (kJ/mol of atoms) = 74.0
- excess energy over the best structure of this formula in the dataset (meV per atom) = 0
- symmetry = Pm-3m, No. 221

a b c (Å): 4.3753 4.3753 4.3753
angles (deg): 90.00 90.00 90.00
Positions (direct):
Si 0.0000 0.5000 0.0000
Si 0.0000 0.0000 0.5000
Si 0.5000 0.0000 0.0000
Bi 0.5000 0.5000 0.5000
N 0.0000 0.0000 0.0000


4.
Computed, not measured: a relaxed structure of SiBi2N at the PBE-GGA level of DFT.

Output
- calculated total energy (eV/cell) = -36.909
- E_form (uncorrected) (kJ/mol of atoms) = 73.7
- excess energy over the best structure of this formula in the dataset (meV per atom) = 0
- symmetry = I-42d, No. 122

a b c (Å): 5.7426 5.7426 7.6028
angles (deg): 67.81 67.81 90.00
Positions (direct):
Si 0.0000 0.0000 0.0000
Si 0.7500 0.2500 0.5000
Bi 0.5616 0.1250 0.2500
Bi 0.1884 0.6250 0.2500
Bi 0.3750 0.4384 0.7500
Bi 0.8750 0.8116 0.7500
N 0.5000 0.5000 0.0000
N 0.2500 0.7500 0.5000


5.
Computed, not measured: a relaxed structure of SiBi2N at the PBE-GGA level of DFT.

Output
- calculated total energy (eV/cell) = -16.899
- E_form (uncorrected) (kJ/mol of atoms) = 111.2
- excess energy over the best structure of this formula in the dataset (meV per atom) = 389
- symmetry = Fm-3m, No. 225

a b c (Å): 4.8534 4.8534 4.8534
angles (deg): 60.00 60.00 60.00
Positions (direct):
Si 0.5000 0.5000 0.5000
Bi 0.2500 0.2500 0.2500
Bi 0.7500 0.7500 0.7500
N 0.0000 0.0000 0.0000


6.
Computed, not measured: a relaxed structure of SiBiN2 at the PBE-GGA level of DFT.

Output
- calculated total energy (eV/cell) = -25.500
- E_form (uncorrected) (kJ/mol of atoms) = 11.0
- excess energy over the best structure of this formula in the dataset (meV per atom) = 259
- symmetry = R-3m, No. 166

a b c (Å): 6.7588 6.7588 6.7588
angles (deg): 26.03 26.03 26.03
Positions (direct):
Si 0.5000 0.5000 0.5000
Bi 0.0000 0.0000 0.0000
N 0.8796 0.8796 0.8796
N 0.1204 0.1204 0.1204


7.
Computed, not measured: a relaxed structure of SiBiN2 at the PBE-GGA level of DFT.

Output
- calculated total energy (eV/cell) = -20.070
- E_form (uncorrected) (kJ/mol of atoms) = 141.9
- excess energy over the best structure of this formula in the dataset (meV per atom) = 1617
- symmetry = Fm-3m, No. 225

a b c (Å): 4.2027 4.2027 4.2027
angles (deg): 60.00 60.00 60.00
Positions (direct):
Si 0.0000 0.0000 0.0000
Bi 0.5000 0.5000 0.5000
N 0.2500 0.2500 0.2500
N 0.7500 0.7500 0.7500


8.
Computed, not measured: a relaxed structure of SiBiN2 at the PBE-GGA level of DFT.

Output
- calculated total energy (eV/cell) = -53.075
- E_form (uncorrected) (kJ/mol of atoms) = -14.1
- excess energy over the best structure of this formula in the dataset (meV per atom) = 0
- symmetry = I-42d, No. 122

a b c (Å): 5.1712 5.1712 5.5436
angles (deg): 62.20 62.20 90.00
Positions (direct):
Si 0.5000 0.5000 0.0000
Si 0.2500 0.7500 0.5000
Bi 0.0000 0.0000 0.0000
Bi 0.7500 0.2500 0.5000
N 0.4852 0.1250 0.2500
N 0.2648 0.6250 0.2500
N 0.3750 0.5148 0.7500
N 0.8750 0.7352 0.7500


9.
Computed, not measured: a relaxed structure of Tl2SiBiN at the PBE-GGA level of DFT.

Output
- calculated total energy (eV/cell) = -20.929
- E_form (uncorrected) (kJ/mol of atoms) = 27.6
- excess energy over the best structure of this formula in the dataset (meV per atom) = 0
- symmetry = P4/mmm, No. 123

a b c (Å): 6.1776 3.4263 6.1776
angles (deg): 90.00 90.00 90.00
Positions (direct):
Tl 0.0000 0.0000 0.5000
Tl 0.5000 0.0000 0.0000
Si 0.0000 0.5000 0.0000
Bi 0.5000 0.5000 0.5000
N 0.0000 0.0000 0.0000


10.
Computed, not measured: a relaxed structure of Tl2SiBiN at the PBE-GGA level of DFT.

Output
- calculated total energy (eV/cell) = -15.007
- E_form (uncorrected) (kJ/mol of atoms) = 141.9
- excess energy over the best structure of this formula in the dataset (meV per atom) = 1184
- symmetry = P4/mmm, No. 123

a b c (Å): 5.1999 5.4415 5.1999
angles (deg): 90.00 90.00 90.00
Positions (direct):
Tl 0.0000 0.0000 0.5000
Tl 0.5000 0.0000 0.0000
Si 0.0000 0.0000 0.0000
Bi 0.0000 0.5000 0.0000
N 0.5000 0.5000 0.5000


11.
Computed, not measured: a relaxed structure of Sm4Bi2N at the PBE-GGA level of DFT.

Output
- calculated total energy (eV/cell) = -41.394
- E_form (uncorrected) (kJ/mol of atoms) = -88.6
- excess energy over the best structure of this formula in the dataset (meV per atom) = 0
- symmetry = I4/mmm, No. 139

a b c (Å): 4.8309 4.8309 8.9872
angles (deg): 105.59 105.59 90.00
Positions (direct):
Bi 0.6446 0.6446 0.2892
Bi 0.3554 0.3554 0.7108
Sm 0.8411 0.8411 0.6822
Sm 0.1589 0.1589 0.3177
Sm 0.0000 0.5000 0.0000
Sm 0.5000 0.0000 0.0000
N 0.0000 0.0000 0.0000


12.
Computed, not measured: a relaxed structure of Sm3Bi2N at the PBE-GGA level of DFT.

Output
- calculated total energy (eV/cell) = -35.456
- E_form (uncorrected) (kJ/mol of atoms) = -83.8
- symmetry = Immm, No. 71

a b c (Å): 3.5557 6.1554 8.1867
angles (deg): 112.08 102.54 90.00
Positions (direct):
Sm 0.3881 0.3881 0.7761
Sm 0.0000 0.0000 0.0000
Sm 0.6119 0.6119 0.2239
Bi 0.6845 0.1845 0.3689
Bi 0.3155 0.8155 0.6311
N 0.0000 0.5000 0.0000


13.
Computed, not measured: a relaxed structure of Sm2BiN at the PBE-GGA level of DFT.

Output
- calculated total energy (eV/cell) = -52.904
- E_form (uncorrected) (kJ/mol of atoms) = -116.0
- excess energy over the best structure of this formula in the dataset (meV per atom) = 0
- symmetry = P4/nmm, No. 129

a b c (Å): 4.6785 4.6785 9.2904
angles (deg): 90.01 90.01 90.00
Positions (direct):
Sm 0.7502 0.7502 0.8217
Sm 0.7500 0.2500 0.5000
Sm 0.2498 0.2498 0.1783
Sm 0.2500 0.7500 0.5000
Bi 0.2502 0.2502 0.8090
Bi 0.7498 0.7498 0.1910
N 0.2499 0.2499 0.4207
N 0.7501 0.7501 0.5793


14.
Computed, not measured: a relaxed structure of Sm4Bi3N at the PBE-GGA level of DFT.

Output
- calculated total energy (eV/cell) = -90.190
- E_form (uncorrected) (kJ/mol of atoms) = -75.4
- symmetry = Pmn2_1, No. 31

a b c (Å): 6.4247 8.7976 9.9694
angles (deg): 90.00 90.00 90.00
Positions (direct):
Sm 0.0695 0.9106 0.0000
Sm 0.6343 0.1813 0.0000
Sm 0.0707 0.3029 0.2046
Sm 0.5707 0.6971 0.2954
Sm 0.1343 0.8187 0.5000
Sm 0.5695 0.0894 0.5000
Sm 0.5707 0.6971 0.7046
Sm 0.0707 0.3029 0.7954
Bi 0.5586 0.8386 0.0000
Bi 0.0592 0.6612 0.2301
Bi 0.5592 0.3388 0.2699
Bi 0.0586 0.1614 0.5000
Bi 0.5592 0.3388 0.7301
Bi 0.0592 0.6612 0.7699
N 0.9931 0.1779 0.0000
N 0.4931 0.8221 0.5000


15.
Computed, not measured: a relaxed structure of SmBiN at the PBE-GGA level of DFT.

Output
- calculated total energy (eV/cell) = -38.166
- E_form (uncorrected) (kJ/mol of atoms) = -69.4
- excess energy over the best structure of this formula in the dataset (meV per atom) = 0
- symmetry = P4/nmm, No. 129

a b c (Å): 4.2642 4.2641 8.0248
angles (deg): 90.00 90.00 90.00
Site moments in Bohr magnetons follow the coordinates.
Positions (direct):
Sm 0.2500 0.7500 0.3814  0.00
Sm 0.7500 0.2500 0.6186  0.00
Bi 0.2500 0.7500 0.9216  0.01
Bi 0.7500 0.2500 0.0784  0.01
N 0.7500 0.7500 0.5000  0.12
N 0.2500 0.2500 0.5000  0.12


16.
Computed, not measured: a relaxed structure of Sm5Bi2N2 at the PBE-GGA level of DFT.

Output
- calculated total energy (eV/cell) = -56.403
- E_form (uncorrected) (kJ/mol of atoms) = -90.0
- symmetry = C2/m, No. 12

a b c (Å): 5.0556 7.0480 7.4889
angles (deg): 102.95 90.00 111.02
Positions (direct):
Sm 0.3330 0.6661 0.0716
Sm 0.6670 0.3339 0.9284
Sm 0.1537 0.3074 0.5906
Sm 0.8463 0.6926 0.4094
Sm 0.0000 0.0000 0.0000
Bi 0.4133 0.8265 0.6892
Bi 0.5867 0.1735 0.3108
N 0.1629 0.3259 0.8941
N 0.8371 0.6741 0.1059


17.
Computed, not measured: a relaxed structure of Sm5Bi2N at the PBE-GGA level of DFT.

Output
- calculated total energy (eV/cell) = -85.695
- E_form (uncorrected) (kJ/mol of atoms) = -38.2
- symmetry = Cmcm, No. 63

a b c (Å): 5.5018 8.4858 12.7052
angles (deg): 90.00 90.00 108.92
Positions (direct):
Sm 0.9286 0.8571 0.8704
Sm 0.9286 0.8571 0.6296
Sm 0.2818 0.5636 0.4052
Sm 0.2818 0.5636 0.0948
Sm 0.6980 0.3960 0.2500
Sm 0.3020 0.6040 0.7500
Sm 0.7182 0.4364 0.5948
Sm 0.7182 0.4364 0.9052
Sm 0.0714 0.1429 0.1296
Sm 0.0714 0.1429 0.3704
Bi 0.8684 0.7369 0.3981
Bi 0.8684 0.7369 0.1019
Bi 0.1316 0.2631 0.6019
Bi 0.1316 0.2631 0.8981
N 0.8141 0.6282 0.7500
N 0.1859 0.3718 0.2500


18.
Computed, not measured: a relaxed structure of Sm2BiN at the PBE-GGA level of DFT.

Output
- calculated total energy (eV/cell) = -25.845
- E_form (uncorrected) (kJ/mol of atoms) = -101.3
- excess energy over the best structure of this formula in the dataset (meV per atom) = 152
- symmetry = R-3m, No. 166

a b c (Å): 3.6789 3.6789 8.1892
angles (deg): 77.02 77.02 60.00
Positions (direct):
Bi 0.5000 0.5000 0.5000
Sm 0.7227 0.7227 0.8320
Sm 0.2773 0.2773 0.1680
N 0.0000 0.0000 0.0000


19.
Computed, not measured: a relaxed structure of Sm2BiN at the PBE-GGA level of DFT.

Output
- calculated total energy (eV/cell) = -23.766
- E_form (uncorrected) (kJ/mol of atoms) = -51.2
- excess energy over the best structure of this formula in the dataset (meV per atom) = 672
- symmetry = P4/mmm, No. 123

a b c (Å): 3.2693 3.2693 8.0051
angles (deg): 90.00 90.00 90.00
Positions (direct):
Bi 0.5000 0.5000 0.5000
Sm 0.0000 0.0000 0.8168
Sm 0.0000 0.0000 0.1832
N 0.5000 0.5000 0.0000


20.
Computed, not measured: a relaxed structure of Sm4Bi2N at the PBE-GGA level of DFT.

Output
- calculated total energy (eV/cell) = -41.052
- E_form (uncorrected) (kJ/mol of atoms) = -83.9
- excess energy over the best structure of this formula in the dataset (meV per atom) = 49
- symmetry = C2/m, No. 12

a b c (Å): 3.9181 8.5281 8.4586
angles (deg): 134.36 103.39 90.00
Positions (direct):
Sm 0.9478 0.2084 0.8956
Sm 0.0522 0.7916 0.1044
Sm 0.6392 0.2293 0.2784
Sm 0.3608 0.7707 0.7216
Bi 0.6624 0.6504 0.3247
Bi 0.3376 0.3496 0.6753
N 0.0000 0.0000 0.0000